[1]
A relaxed structure of ThTiSe2N, computed with GGA-PBE.

Calculated values
The symmetry is P4/nmm (129). The value obtained for the formation energy without anion corrections is -1.41 eV/atom.

a = 3.932 Å, b = 3.932 Å, c = 13.599 Å
α = 90.00°, β = 90.00°, γ = 90.00°
Sites, in units of the cell vectors:
Th (0.250, 0.250, 0.090)
Th (0.750, 0.750, 0.910)
Ti (0.250, 0.250, 0.600)
Ti (0.750, 0.750, 0.400)
Se (0.250, 0.250, 0.406)
Se (0.250, 0.250, 0.780)
Se (0.750, 0.750, 0.220)
Se (0.750, 0.750, 0.594)
N (0.250, 0.750, 0.000)
N (0.750, 0.250, 0.000)

[2]
A relaxed structure of ThUSe2N, computed with GGA-PBE.

Calculated values
The symmetry is P4/nmm (129). The value obtained for the formation energy without anion corrections is -1.50 eV/atom.

a = 4.083 Å, b = 4.083 Å, c = 14.314 Å
α = 90.00°, β = 90.00°, γ = 90.00°
Sites, in units of the cell vectors:
Th (0.250, 0.250, 0.081)
Th (0.750, 0.750, 0.919)
U (0.250, 0.250, 0.608)
U (0.750, 0.750, 0.392)
Se (0.250, 0.250, 0.401)
Se (0.250, 0.250, 0.798)
Se (0.750, 0.750, 0.202)
Se (0.750, 0.750, 0.599)
N (0.250, 0.750, 0.000)
N (0.750, 0.250, 0.000)

[3]
A relaxed structure of YThSeN, computed with GGA-PBE.

Calculated values
The symmetry is P4/nmm (129). The value obtained for the formation energy without anion corrections is -1.43 eV/atom.

a = 4.288 Å, b = 4.288 Å, c = 9.591 Å
α = 90.00°, β = 90.00°, γ = 90.00°
Sites, in units of the cell vectors:
Y (0.250, 0.750, 0.000)
Y (0.750, 0.250, 0.000)
Th (0.250, 0.250, 0.389)
Th (0.750, 0.750, 0.611)
Se (0.250, 0.250, 0.790)
Se (0.750, 0.750, 0.210)
N (0.250, 0.750, 0.500)
N (0.750, 0.250, 0.500)

[4]
A relaxed structure of ThZrSeN2, computed with GGA-PBE.

Calculated values
The symmetry is P2_1/m (11). The value obtained for the formation energy without anion corrections is -1.71 eV/atom.

a = 7.160 Å, b = 4.163 Å, c = 7.819 Å
α = 90.00°, β = 117.04°, γ = 90.00°
Sites, in units of the cell vectors:
Th (0.179, 0.250, 0.446)
Th (0.821, 0.750, 0.554)
Zr (0.136, 0.250, 0.943)
Zr (0.864, 0.750, 0.057)
Se (0.494, 0.750, 0.735)
Se (0.506, 0.250, 0.265)
N (0.004, 0.750, 0.367)
N (0.032, 0.750, 0.898)
N (0.968, 0.250, 0.102)
N (0.996, 0.250, 0.633)

[5]
A relaxed structure of Ti4SeN, computed with GGA-PBE.

Calculated values
The symmetry is C2/c (15). The value obtained for the formation energy without anion corrections is -0.91 eV/atom.

a = 6.805 Å, b = 6.805 Å, c = 5.272 Å
α = 105.65°, β = 105.65°, γ = 119.70°
Sites, in units of the cell vectors:
Ti (0.093, 0.674, 0.883)
Ti (0.166, 0.263, 0.707)
Ti (0.263, 0.166, 0.207)
Ti (0.326, 0.907, 0.617)
Ti (0.674, 0.093, 0.383)
Ti (0.737, 0.834, 0.793)
Ti (0.834, 0.737, 0.293)
Ti (0.907, 0.326, 0.117)
Se (0.386, 0.614, 0.250)
Se (0.614, 0.386, 0.750)
N (0.067, 0.933, 0.750)
N (0.933, 0.067, 0.250)

[6]
A relaxed structure of Ti2SeN, computed with GGA-PBE.

Calculated values
The symmetry is R-3m (166). The value obtained for the formation energy without anion corrections is -1.33 eV/atom. As for the energy relative to the lowest polymorph listed for this composition: 0.000 eV/atom.

a = 6.111 Å, b = 6.111 Å, c = 6.111 Å
α = 31.00°, β = 31.00°, γ = 31.00°
Sites, in units of the cell vectors:
Ti (0.224, 0.224, 0.224)
Ti (0.776, 0.776, 0.776)
Se (0.000, 0.000, 0.000)
N (0.500, 0.500, 0.500)

[7]
A relaxed structure of TiSeN3, computed with GGA-PBE.

Calculated values
The symmetry is Pm-3m (221). The value obtained for the formation energy without anion corrections is 1.21 eV/atom.

a = 3.716 Å, b = 3.716 Å, c = 3.716 Å
α = 90.00°, β = 90.00°, γ = 90.00°
Sites, in units of the cell vectors:
Ti (0.000, 0.000, 0.000)
Se (0.500, 0.500, 0.500)
N (0.000, 0.500, 0.500)
N (0.500, 0.000, 0.500)
N (0.500, 0.500, 0.000)

[8]
A relaxed structure of TiSe3N, computed with GGA-PBE.

Calculated values
The symmetry is Pm-3m (221). The value obtained for the formation energy without anion corrections is 0.56 eV/atom. As for the energy relative to the lowest polymorph listed for this composition: 0.000 eV/atom.

a = 4.376 Å, b = 4.376 Å, c = 4.376 Å
α = 90.00°, β = 90.00°, γ = 90.00°
Sites, in units of the cell vectors:
Ti (0.000, 0.000, 0.000)
Se (0.000, 0.500, 0.500)
Se (0.500, 0.000, 0.500)
Se (0.500, 0.500, 0.000)
N (0.500, 0.500, 0.500)

[9]
A relaxed structure of Ti2Se2N, computed with GGA-PBE.

Calculated values
The symmetry is I4/mmm (139). The value obtained for the formation energy without anion corrections is 0.20 eV/atom. As for the energy relative to the lowest polymorph listed for this composition: 1.358 eV/atom.

a = 5.003 Å, b = 5.003 Å, c = 5.003 Å
α = 122.03°, β = 122.03°, γ = 86.52°
Sites, in units of the cell vectors:
Ti (0.250, 0.750, 0.500)
Ti (0.750, 0.250, 0.500)
Se (0.174, 0.174, 0.000)
Se (0.826, 0.826, 0.000)
N (0.500, 0.500, 0.000)

[10]
A relaxed structure of TiSe3N, computed with GGA-PBE.

Calculated values
The symmetry is Pm-3m (221). The value obtained for the formation energy without anion corrections is 0.70 eV/atom. As for the energy relative to the lowest polymorph listed for this composition: 0.137 eV/atom.

a = 4.951 Å, b = 4.951 Å, c = 4.951 Å
α = 90.00°, β = 90.00°, γ = 90.00°
Sites, in units of the cell vectors:
Ti (0.000, 0.000, 0.000)
Se (0.000, 0.000, 0.500)
Se (0.000, 0.500, 0.000)
Se (0.500, 0.000, 0.000)
N (0.500, 0.500, 0.500)

[11]
A relaxed structure of Ti3SeN, computed with GGA-PBE.

Calculated values
The symmetry is Pm-3m (221). The value obtained for the formation energy without anion corrections is -0.77 eV/atom. As for the energy relative to the lowest polymorph listed for this composition: 0.444 eV/atom.

a = 4.132 Å, b = 4.132 Å, c = 4.132 Å
α = 90.00°, β = 90.00°, γ = 90.00°
Sites, in units of the cell vectors:
Ti (0.000, 0.000, 0.500)
Ti (0.000, 0.500, 0.000)
Ti (0.500, 0.000, 0.000)
Se (0.500, 0.500, 0.500)
N (0.000, 0.000, 0.000)

[12]
A relaxed structure of TiSe2N2, computed with GGA-PBE.

Calculated values
The symmetry is P4/mmm (123). The value obtained for the formation energy without anion corrections is 0.45 eV/atom. As for the energy relative to the lowest polymorph listed for this composition: 0.000 eV/atom.

a = 3.830 Å, b = 3.830 Å, c = 6.029 Å
α = 90.00°, β = 90.00°, γ = 90.00°
Sites, in units of the cell vectors:
Ti (0.000, 0.000, 0.000)
Se (0.000, 0.000, 0.500)
Se (0.500, 0.500, 0.500)
N (0.000, 0.500, 0.000)
N (0.500, 0.000, 0.000)

[13]
A relaxed structure of Ti2SeN, computed with GGA-PBE.

Calculated values
The symmetry is Fm-3m (225). The value obtained for the formation energy without anion corrections is -0.42 eV/atom. As for the energy relative to the lowest polymorph listed for this composition: 0.916 eV/atom.

a = 4.192 Å, b = 4.192 Å, c = 4.192 Å
α = 60.00°, β = 60.00°, γ = 60.00°
Sites, in units of the cell vectors:
Ti (0.250, 0.250, 0.250)
Ti (0.750, 0.750, 0.750)
Se (0.000, 0.000, 0.000)
N (0.500, 0.500, 0.500)

[14]
A relaxed structure of TiSe2N2, computed with GGA-PBE.

Calculated values
The symmetry is P4/mmm (123). The value obtained for the formation energy without anion corrections is 1.11 eV/atom. As for the energy relative to the lowest polymorph listed for this composition: 0.658 eV/atom.

a = 4.186 Å, b = 4.186 Å, c = 3.860 Å
α = 90.00°, β = 90.00°, γ = 90.00°
Sites, in units of the cell vectors:
Ti (0.000, 0.000, 0.000)
Se (0.000, 0.500, 0.500)
Se (0.500, 0.000, 0.500)
N (0.500, 0.500, 0.000)
N (0.500, 0.500, 0.500)

[15]
A relaxed structure of Ti2SeN, computed with GGA-PBE.

Calculated values
The symmetry is R3m (160). The value obtained for the formation energy without anion corrections is -1.33 eV/atom. As for the energy relative to the lowest polymorph listed for this composition: 0.000 eV/atom.

a = 6.156 Å, b = 6.156 Å, c = 6.156 Å
α = 30.43°, β = 30.43°, γ = 30.43°
Sites, in units of the cell vectors:
Ti (0.000, 0.000, 0.000)
Ti (0.214, 0.214, 0.214)
Se (0.440, 0.440, 0.440)
N (0.609, 0.609, 0.609)

[16]
A relaxed structure of Ti2SeN, computed with GGA-PBE.

Calculated values
The symmetry is I-42d (122). The value obtained for the formation energy without anion corrections is -1.03 eV/atom. As for the energy relative to the lowest polymorph listed for this composition: 0.307 eV/atom.

a = 6.216 Å, b = 6.216 Å, c = 6.216 Å
α = 130.67°, β = 130.67°, γ = 72.34°
Sites, in units of the cell vectors:
Ti (0.037, 0.625, 0.912)
Ti (0.375, 0.287, 0.412)
Ti (0.713, 0.125, 0.088)
Ti (0.875, 0.963, 0.588)
Se (0.250, 0.750, 0.500)
Se (0.500, 0.500, 0.000)
N (0.000, 0.000, 0.000)
N (0.750, 0.250, 0.500)

[17]
A relaxed structure of TiSe2N2, computed with GGA-PBE.

Calculated values
The symmetry is P4/mmm (123). The value obtained for the formation energy without anion corrections is 1.06 eV/atom. As for the energy relative to the lowest polymorph listed for this composition: 0.607 eV/atom.

a = 5.021 Å, b = 5.021 Å, c = 3.861 Å
α = 90.00°, β = 90.00°, γ = 90.00°
Sites, in units of the cell vectors:
Ti (0.000, 0.000, 0.000)
Se (0.000, 0.500, 0.000)
Se (0.500, 0.000, 0.000)
N (0.000, 0.000, 0.500)
N (0.500, 0.500, 0.500)

[18]
A relaxed structure of TiSeN3, computed with GGA-PBE.

Calculated values
The symmetry is Pm-3m (221). The value obtained for the formation energy without anion corrections is 1.07 eV/atom.

a = 3.949 Å, b = 3.949 Å, c = 3.949 Å
α = 90.00°, β = 90.00°, γ = 90.00°
Sites, in units of the cell vectors:
Ti (0.000, 0.000, 0.000)
Se (0.500, 0.500, 0.500)
N (0.000, 0.000, 0.500)
N (0.000, 0.500, 0.000)
N (0.500, 0.000, 0.000)

[19]
A relaxed structure of Ti2Se2N, computed with GGA-PBE.

Calculated values
The symmetry is P4/mbm (127). The value obtained for the formation energy without anion corrections is 0.14 eV/atom. As for the energy relative to the lowest polymorph listed for this composition: 1.297 eV/atom.

a = 7.002 Å, b = 7.002 Å, c = 3.230 Å
α = 90.00°, β = 90.00°, γ = 90.00°
Sites, in units of the cell vectors:
Ti (0.152, 0.348, 0.000)
Ti (0.348, 0.848, 0.000)
Ti (0.652, 0.152, 0.000)
Ti (0.848, 0.652, 0.000)
Se (0.146, 0.646, 0.500)
Se (0.354, 0.146, 0.500)
Se (0.646, 0.854, 0.500)
Se (0.854, 0.354, 0.500)
N (0.000, 0.000, 0.500)
N (0.500, 0.500, 0.500)

[20]
A relaxed structure of Ti6Se2N, computed with GGA-PBE.

Calculated values
The symmetry is C2/m (12). The value obtained for the formation energy without anion corrections is -0.96 eV/atom.

a = 5.407 Å, b = 5.407 Å, c = 7.849 Å
α = 91.02°, β = 91.02°, γ = 35.47°
Sites, in units of the cell vectors:
Ti (0.043, 0.043, 0.238)
Ti (0.362, 0.362, 0.058)
Ti (0.374, 0.374, 0.457)
Ti (0.626, 0.626, 0.543)
Ti (0.638, 0.638, 0.942)
Ti (0.957, 0.957, 0.762)
Se (0.254, 0.254, 0.747)
Se (0.746, 0.746, 0.253)
N (0.000, 0.000, 0.500)

[21]
A relaxed structure of Ti4Se3N, computed with GGA-PBE.

Calculated values
The symmetry is Pmn2_1 (31). The value obtained for the formation energy without anion corrections is -0.92 eV/atom.

a = 6.938 Å, b = 6.504 Å, c = 6.584 Å
α = 90.00°, β = 90.00°, γ = 90.00°
Sites, in units of the cell vectors:
Ti (0.000, 0.141, 0.000)
Ti (0.000, 0.843, 0.333)
Ti (0.236, 0.771, 0.878)
Ti (0.264, 0.229, 0.378)
Ti (0.500, 0.157, 0.833)
Ti (0.500, 0.859, 0.500)
Ti (0.736, 0.229, 0.378)
Ti (0.764, 0.771, 0.878)
Se (0.000, 0.110, 0.616)
Se (0.238, 0.598, 0.529)
Se (0.262, 0.402, 0.029)
Se (0.500, 0.890, 0.116)
Se (0.738, 0.402, 0.029)
Se (0.762, 0.598, 0.529)
N (0.000, 0.834, 0.033)
N (0.500, 0.166, 0.533)

[22]
A relaxed structure of Ti2Se2N, computed with GGA-PBE.

Calculated values
The symmetry is Ibam (72). The value obtained for the formation energy without anion corrections is -1.15 eV/atom. As for the energy relative to the lowest polymorph listed for this composition: 0.000 eV/atom.

a = 6.330 Å, b = 6.330 Å, c = 6.330 Å
α = 117.01°, β = 85.29°, γ = 128.90°
Sites, in units of the cell vectors:
Ti (0.068, 0.197, 0.265)
Ti (0.432, 0.697, 0.129)
Ti (0.568, 0.303, 0.871)
Ti (0.932, 0.803, 0.735)
Se (0.160, 0.606, 0.766)
Se (0.340, 0.106, 0.447)
Se (0.660, 0.894, 0.553)
Se (0.840, 0.394, 0.234)
N (0.250, 0.250, 0.000)
N (0.750, 0.750, 0.000)

[23]
A relaxed structure of Ti5Se2N, computed with GGA-PBE.

Calculated values
The symmetry is Cmcm (63). The value obtained for the formation energy without anion corrections is -0.68 eV/atom.

a = 6.693 Å, b = 6.693 Å, c = 10.729 Å
α = 90.00°, β = 90.00°, γ = 142.86°
Sites, in units of the cell vectors:
Ti (0.090, 0.910, 0.622)
Ti (0.090, 0.910, 0.878)
Ti (0.280, 0.720, 0.250)
Ti (0.292, 0.708, 0.569)
Ti (0.292, 0.708, 0.931)
Ti (0.708, 0.292, 0.069)
Ti (0.708, 0.292, 0.431)
Ti (0.720, 0.280, 0.750)
Ti (0.910, 0.090, 0.122)
Ti (0.910, 0.090, 0.378)
Se (0.110, 0.890, 0.110)
Se (0.110, 0.890, 0.390)
Se (0.890, 0.110, 0.610)
Se (0.890, 0.110, 0.890)
N (0.211, 0.789, 0.750)
N (0.789, 0.211, 0.250)

[24]
A relaxed structure of TiSe2N2, computed with GGA-PBE.

Calculated values
The symmetry is P4/mmm (123). The value obtained for the formation energy without anion corrections is 1.23 eV/atom. As for the energy relative to the lowest polymorph listed for this composition: 0.780 eV/atom.

a = 3.847 Å, b = 3.847 Å, c = 5.004 Å
α = 90.00°, β = 90.00°, γ = 90.00°
Sites, in units of the cell vectors:
Ti (0.000, 0.000, 0.000)
Se (0.500, 0.500, 0.000)
Se (0.500, 0.500, 0.500)
N (0.000, 0.500, 0.500)
N (0.500, 0.000, 0.500)

[25]
A relaxed structure of Ti3SeN, computed with GGA-PBE.

Calculated values
The symmetry is Cmc2_1 (36). The value obtained for the formation energy without anion corrections is -0.99 eV/atom. As for the energy relative to the lowest polymorph listed for this composition: 0.225 eV/atom.

a = 7.976 Å, b = 7.976 Å, c = 5.917 Å
α = 90.00°, β = 90.00°, γ = 157.21°
Sites, in units of the cell vectors:
Ti (0.046, 0.954, 0.500)
Ti (0.288, 0.712, 0.871)
Ti (0.361, 0.639, 0.302)
Ti (0.639, 0.361, 0.802)
Ti (0.712, 0.288, 0.371)
Ti (0.954, 0.046, 0.000)
Se (0.436, 0.564, 0.673)
Se (0.564, 0.436, 0.173)
N (0.179, 0.821, 0.603)
N (0.821, 0.179, 0.103)